Material: Li2Pa
Method: DFT, PBE
State: optimized geometry

Lattice parameters (Å, degrees): 5.261 3.039 8.230 90.00 90.13 90.00
Space group C2/m (No. 12)
Inequivalent atoms, fractional coordinates:
Li 0.167 0.000 0.345
Pa 0.000 0.500 0.000

Values from the calculation:
- Calculated formation energy: 0.190 eV per atom
- Size of the total moment: 0.00 μB per formula unit



Material: LiPa3
Method: DFT, PBE
State: optimized geometry

Lattice parameters (Å, degrees): 3.132 10.602 5.518 90.00 90.00 90.00
Space group Imm2 (No. 44)
Inequivalent atoms, fractional coordinates:
Li 0.000 0.000 0.000
Pa 0.000 0.265 0.286
Pa 0.000 0.500 0.984

Values from the calculation:
- Calculated formation energy: 0.261 eV per atom
- Size of the total moment: 0.00 μB per formula unit



Material: LiPa2Pb
Method: DFT, PBE
State: optimized geometry

Lattice parameters (Å, degrees): 3.1772 3.1772 36.6600 90.00 90.00 120.00
Space group R-3m (No. 166, hexagonal axes)
Inequivalent atoms, fractional coordinates:
Li 0.0000 0.0000 0.0000
Pa 0.0000 0.0000 0.0875
Pb 0.0000 0.0000 0.5000

Values from the calculation:
- Calculated formation energy: 0.318 eV per atom
- Size of the total moment: 0.01 μB per formula unit



Material: Li4PaPb5
Method: DFT, PBE
State: optimized geometry

Lattice parameters (Å, degrees): 3.481 3.481 19.288 90.00 90.00 90.00
Space group P4/mmm (No. 123)
Inequivalent atoms, fractional coordinates:
Li 0.000 0.000 0.095
Li 0.000 0.000 0.286
Pa 0.000 0.000 0.500
Pb 0.500 0.500 0.000
Pb 0.500 0.500 0.191
Pb 0.500 0.500 0.380

Values from the calculation:
- Calculated formation energy: -0.186 eV per atom
- Size of the total moment: 0.59 μB per formula unit



Material: Li2PaPb
Method: DFT, PBE
State: optimized geometry

Lattice parameters (Å, degrees): 3.1479 3.1479 34.1685 90.00 90.00 120.00
Space group R-3m (No. 166, hexagonal axes)
Inequivalent atoms, fractional coordinates:
Li 0.0000 0.0000 0.0923
Pa 0.0000 0.0000 0.0000
Pb 0.0000 0.0000 0.5000

Values from the calculation:
- Calculated formation energy: 0.204 eV per atom
- Size of the total moment: 0.00 μB per formula unit



Material: Li3PaPb2S6
Method: DFT, PBE
State: optimized geometry

Lattice parameters (Å, degrees): 7.013 12.655 6.552 90.00 108.83 90.00
Space group C2/m (No. 12)
Inequivalent atoms, fractional coordinates:
Li 0.000 0.000 0.000
Li 0.000 0.370 0.000
Pa 0.000 0.500 0.500
Pb 0.000 0.173 0.500
S 0.225 0.352 0.757
S 0.238 0.500 0.255

Values from the calculation:
- Calculated total energy: -5.1081 eV/atom
- Size of the total moment: 0.00 μB per formula unit



Material: Li2PaPbS4
Method: DFT, PBE
State: optimized geometry

Lattice parameters (Å, degrees): 6.683 3.944 7.229 90.00 111.82 90.00
Space group P2/m (No. 10)
Inequivalent atoms, fractional coordinates:
Li 0.000 0.000 0.000
Li 0.000 0.500 0.500
Pa 0.500 0.000 0.500
Pb 0.500 0.500 0.000
S 0.243 0.500 0.255
S 0.244 0.000 0.711

Values from the calculation:
- Calculated total energy: -5.4000 eV/atom
- Size of the total moment: 1.01 μB per formula unit



Material: LiPaPbS4
Method: DFT, PBE
State: optimized geometry

Lattice parameters (Å, degrees): 8.056 8.186 11.724 90.00 90.00 90.00
Space group Imma (No. 74)
Inequivalent atoms, fractional coordinates:
Li 0.000 0.250 0.147
Pa 0.000 0.000 0.500
Pb 0.250 0.250 0.750
S 0.000 0.008 0.280
S 0.221 0.250 0.499

Values from the calculation:
- Calculated total energy: -5.7379 eV/atom
- Size of the total moment: 0.00 μB per formula unit



Material: Li2PaPb3S6
Method: DFT, PBE
State: optimized geometry

Lattice parameters (Å, degrees): 6.972 12.172 7.167 90.00 108.16 90.00
Space group C2/m (No. 12)
Inequivalent atoms, fractional coordinates:
Li 0.000 0.180 0.000
Pa 0.000 0.500 0.000
Pb 0.000 0.000 0.500
Pb 0.000 0.334 0.500
S 0.238 0.339 0.219
S 0.241 0.500 0.762

Values from the calculation:
- Calculated total energy: -5.0834 eV/atom
- Size of the total moment: 1.03 μB per formula unit



Material: LiPaSnPb
Method: DFT, PBE
State: optimized geometry

Lattice parameters (Å, degrees): 7.390 7.390 7.390 90.00 90.00 90.00
Space group F-43m (No. 216)
Inequivalent atoms, fractional coordinates:
Li 0.000 0.000 0.000
Pa 0.000 0.000 0.500
Sn 0.250 0.250 0.250
Pb 0.250 0.250 0.750

Values from the calculation:
- Calculated formation energy: -0.043 eV per atom
- Size of the total moment: 0.64 μB per formula unit



Material: Li3PaTe6Pb2
Method: DFT, PBE
State: optimized geometry

Lattice parameters (Å, degrees): 7.782 13.511 7.425 90.00 110.53 90.00
Space group C2/m (No. 12)
Inequivalent atoms, fractional coordinates:
Li 0.000 0.000 0.000
Li 0.000 0.333 0.000
Pa 0.000 0.500 0.500
Te 0.227 0.500 0.243
Te 0.244 0.344 0.763
Pb 0.000 0.167 0.500

Values from the calculation:
- Calculated total energy: -4.2097 eV/atom
- Size of the total moment: 0.00 μB per formula unit



Material: Li2PaTe6Pb3
Method: DFT, PBE
State: optimized geometry

Lattice parameters (Å, degrees): 7.751 13.426 7.888 90.00 108.97 90.00
Space group C2/m (No. 12)
Inequivalent atoms, fractional coordinates:
Li 0.000 0.174 0.000
Pa 0.000 0.500 0.000
Te 0.243 0.335 0.229
Te 0.245 0.000 0.233
Pb 0.000 0.000 0.500
Pb 0.000 0.338 0.500

Values from the calculation:
- Calculated total energy: -4.2494 eV/atom
- Size of the total moment: 1.01 μB per formula unit



Material: LiPaTlPb
Method: DFT, PBE
State: optimized geometry

Lattice parameters (Å, degrees): 7.414 7.414 7.414 90.00 90.00 90.00
Space group F-43m (No. 216)
Inequivalent atoms, fractional coordinates:
Li 0.000 0.000 0.000
Pa 0.000 0.000 0.500
Tl 0.250 0.250 0.750
Pb 0.250 0.250 0.250

Values from the calculation:
- Calculated formation energy: 0.074 eV per atom
- Size of the total moment: 0.62 μB per formula unit



Material: LiPaZnPb
Method: DFT, PBE
State: optimized geometry

Lattice parameters (Å, degrees): 7.179 7.179 7.179 90.00 90.00 90.00
Space group F-43m (No. 216)
Inequivalent atoms, fractional coordinates:
Li 0.000 0.000 0.000
Pa 0.000 0.000 0.500
Zn 0.250 0.250 0.750
Pb 0.250 0.250 0.250

Values from the calculation:
- Calculated formation energy: 0.075 eV per atom
- Size of the total moment: 1.39 μB per formula unit



Material: LiPaPd5
Method: DFT, PBE
State: optimized geometry

Lattice parameters (Å, degrees): 5.441 9.041 7.060 90.00 90.00 90.00
Space group Imm2 (No. 44)
Inequivalent atoms, fractional coordinates:
Li 0.000 0.000 0.000
Pa 0.000 0.500 0.860
Pd 0.000 0.255 0.698
Pd 0.000 0.500 0.487
Pd 0.247 0.000 0.661

Values from the calculation:
- Energy relative to the lowest polymorph listed for this composition: 565 meV per atom
- Calculated formation energy: 0.080 eV per atom
- Size of the total moment: 0.00 μB per formula unit



Material: Li3PaPd4
Method: DFT, PBE
State: optimized geometry

Lattice parameters (Å, degrees): 6.369 6.369 6.369 90.00 90.00 90.00
Space group Im-3m (No. 229)
Inequivalent atoms, fractional coordinates:
Li 0.000 0.000 0.500
Pa 0.000 0.000 0.000
Pd 0.250 0.250 0.250

Values from the calculation:
- Calculated formation energy: -0.489 eV per atom
- Size of the total moment: 0.00 μB per formula unit



Material: Li3PaPd6
Method: DFT, PBE
State: optimized geometry

Lattice parameters (Å, degrees): 8.078 4.265 9.244 90.00 99.73 90.00
Space group P2_1/m (No. 11)
Inequivalent atoms, fractional coordinates:
Li 0.047 0.250 0.392
Li 0.149 0.750 0.176
Li 0.243 0.250 0.976
Pa 0.430 0.250 0.629
Pd 0.033 0.750 0.897
Pd 0.113 0.250 0.690
Pd 0.231 0.750 0.477
Pd 0.333 0.250 0.284
Pd 0.334 0.750 0.789
Pd 0.442 0.750 0.088

Values from the calculation:
- Calculated formation energy: -0.523 eV per atom
- Size of the total moment: 0.00 μB per formula unit



Material: LiPa2Pd8
Method: DFT, PBE
State: optimized geometry

Lattice parameters (Å, degrees): 4.067 8.146 11.902 90.00 90.00 90.00
Space group Immm (No. 71)
Inequivalent atoms, fractional coordinates:
Li 0.000 0.000 0.000
Pa 0.000 0.000 0.339
Pd 0.000 0.247 0.500
Pd 0.000 0.252 0.160
Pd 0.000 0.500 0.327

Values from the calculation:
- Energy relative to the lowest polymorph listed for this composition: 0 meV per atom
- Calculated formation energy: -0.567 eV per atom
- Size of the total moment: 0.00 μB per formula unit



Material: LiPa2Pd
Method: DFT, PBE
State: optimized geometry

Lattice parameters (Å, degrees): 3.0371 3.0371 33.8628 90.00 90.00 120.00
Space group R-3m (No. 166, hexagonal axes)
Inequivalent atoms, fractional coordinates:
Li 0.0000 0.0000 0.0000
Pa 0.0000 0.0000 0.0922
Pd 0.0000 0.0000 0.5000

Values from the calculation:
- Calculated formation energy: 0.116 eV per atom
- Size of the total moment: 0.00 μB per formula unit



Material: LiPaPd
Method: DFT, PBE
State: optimized geometry

Lattice parameters (Å, degrees): 3.173 3.173 11.204 90.00 90.00 90.00
Space group I4mm (No. 107)
Inequivalent atoms, fractional coordinates:
Li 0.000 0.000 0.000
Pa 0.000 0.000 0.292
Pd 0.000 0.000 0.621

Values from the calculation:
- Calculated formation energy: -0.140 eV per atom
- Size of the total moment: 0.00 μB per formula unit



Material: LiPaPd6
Method: DFT, PBE
State: optimized geometry

Lattice parameters (Å, degrees): 6.095 9.733 5.338 90.00 119.37 90.00
Space group C2/m (No. 12)
Inequivalent atoms, fractional coordinates:
Li 0.000 0.000 0.000
Pa 0.000 0.500 0.500
Pd 0.231 0.000 0.757
Pd 0.234 0.218 0.244

Values from the calculation:
- Energy relative to the lowest polymorph listed for this composition: 353 meV per atom
- Calculated formation energy: -0.298 eV per atom
- Size of the total moment: 0.00 μB per formula unit



Material: LiPaPd4
Method: DFT, PBE
State: optimized geometry

Lattice parameters (Å, degrees): 7.521 7.521 7.521 90.00 90.00 90.00
Space group F-43m (No. 216)
Inequivalent atoms, fractional coordinates:
Li 0.000 0.000 0.000
Pa 0.250 0.250 0.750
Pd 0.125 0.125 0.375

Values from the calculation:
- Energy relative to the lowest polymorph listed for this composition: 117 meV per atom
- Calculated formation energy: -0.489 eV per atom
- Size of the total moment: 0.00 μB per formula unit



Material: LiPa2Pd8
Method: DFT, PBE
State: optimized geometry

Lattice parameters (Å, degrees): 7.072 13.656 4.484 90.00 113.84 90.00
Space group C2/m (No. 12)
Inequivalent atoms, fractional coordinates:
Li 0.000 0.000 0.000
Pa 0.000 0.309 0.500
Pd 0.000 0.186 0.000
Pd 0.117 0.500 0.811
Pd 0.215 0.106 0.631

Values from the calculation:
- Energy relative to the lowest polymorph listed for this composition: 91 meV per atom
- Calculated formation energy: -0.476 eV per atom
- Size of the total moment: 0.00 μB per formula unit



Material: LiPaPd4
Method: DFT, PBE
State: optimized geometry

Lattice parameters (Å, degrees): 3.974 3.974 7.073 90.00 90.00 90.00
Space group P4/mmm (No. 123)
Inequivalent atoms, fractional coordinates:
Li 0.000 0.000 0.000
Pa 0.500 0.500 0.500
Pd 0.000 0.500 0.228

Values from the calculation:
- Energy relative to the lowest polymorph listed for this composition: 193 meV per atom
- Calculated formation energy: -0.413 eV per atom
- Size of the total moment: 0.00 μB per formula unit